A plane-wave DFT calculation with PBE-GGA was carried out for Sr2Li2AcIn2 after structural relaxation.

Space group: R-3m (166)
Formation energy (eV/atom): -0.25

```
Sr2Li2AcIn2
1.0
2.552 1.473 10.770
-2.552 1.473 10.770
0.000 -2.946 10.770
Sr Li Ac In
2 2 1 2
direct
0.120 0.120 0.120
0.880 0.880 0.880
0.391 0.391 0.391
0.609 0.609 0.609
0.000 0.000 0.000
0.272 0.272 0.272
0.728 0.728 0.728
```


A plane-wave DFT calculation with PBE-GGA was carried out for LaY2BiRh after structural relaxation.

Space group: P4/mmm (123)
Formation energy (eV/atom): -0.56

```
LaY2BiRh
1.0
5.417 0.000 0.000
0.000 5.417 0.000
0.000 0.000 5.427
La Y Bi Rh
1 2 1 1
direct
0.000 0.000 0.000
0.000 0.500 0.500
0.500 0.000 0.500
0.500 0.500 0.000
0.000 0.000 0.500
```


A plane-wave DFT calculation with PBE-GGA was carried out for SrAl4Pt4 after structural relaxation.

Space group: P4_2/nmc (137)
Formation energy (eV/atom): -0.92

```
SrAl4Pt4
1.0
6.403 0.000 0.000
0.000 6.403 0.000
0.000 0.000 8.299
Sr Al Pt
2 8 8
direct
0.250 0.750 0.250
0.750 0.250 0.750
0.001 0.750 0.633
0.250 0.501 0.867
0.250 0.999 0.867
0.499 0.750 0.633
0.501 0.250 0.367
0.750 0.001 0.133
0.750 0.499 0.133
0.999 0.250 0.367
0.041 0.250 0.063
0.250 0.041 0.563
0.250 0.459 0.563
0.459 0.250 0.063
0.541 0.750 0.937
0.750 0.541 0.437
0.750 0.959 0.437
0.959 0.750 0.937
```


A plane-wave DFT calculation with PBE-GGA was carried out for Al2GaIr after structural relaxation.

Space group: I-42d (122)
Formation energy (eV/atom): -0.12

```
Al2GaIr
1.0
8.031 0.000 0.000
0.000 8.031 0.000
0.000 0.000 4.885
Al Ga Ir
8 4 4
direct
0.160 0.250 0.125
0.250 0.660 0.375
0.250 0.840 0.875
0.340 0.250 0.625
0.660 0.750 0.625
0.750 0.160 0.875
0.750 0.340 0.375
0.840 0.750 0.125
0.000 0.000 0.500
0.000 0.500 0.750
0.500 0.000 0.250
0.500 0.500 0.000
0.000 0.000 0.000
0.000 0.500 0.250
0.500 0.000 0.750
0.500 0.500 0.500
```


A plane-wave DFT calculation with PBE-GGA was carried out for Pu3Al after structural relaxation.

Space group: I4/mmm (139)
Formation energy (eV/atom): -0.07

```
Pu3Al
1.0
4.426 0.000 0.000
0.000 4.426 0.000
0.000 0.000 8.669
Pu Al
6 2
direct
0.000 0.000 0.000
0.000 0.500 0.250
0.000 0.500 0.750
0.500 0.000 0.250
0.500 0.000 0.750
0.500 0.500 0.500
0.000 0.000 0.500
0.500 0.500 0.000
```


A plane-wave DFT calculation with PBE-GGA was carried out for Mg2PtBr after structural relaxation.

Formation energy (no corrections) (kJ/mol of atoms): -70.4
Space group: P4/mmm (123)
Polymorph energy (0 for the lowest one) (meV/atom): 77

```
Mg2PtBr
1.0
3.304 0.000 0.000
0.000 3.304 0.000
0.000 0.000 7.339
Mg Pt Br
2 1 1
direct
0.000 0.000 0.202
0.000 0.000 0.798
0.500 0.500 0.000
0.500 0.500 0.500
```


A plane-wave DFT calculation with PBE-GGA was carried out for VGa2Ni3 after structural relaxation.

Space group: P4/mmm (123)
Formation energy (eV/atom): -0.28

```
VGa2Ni3
1.0
2.707 0.000 0.000
0.000 2.707 0.000
0.000 0.000 10.045
V Ga Ni
1 2 3
direct
0.000 0.000 0.000
0.000 0.000 0.335
0.000 0.000 0.665
0.500 0.500 0.170
0.500 0.500 0.500
0.500 0.500 0.830
```


A plane-wave DFT calculation with PBE-GGA was carried out for HgBi6Pt after structural relaxation.

Space group: C2/m (12)
Formation energy (eV/atom): -0.01

```
HgBi6Pt
1.0
7.258 -5.034 0.000
7.258 5.034 0.000
-7.137 0.000 7.451
Hg Bi Pt
2 12 2
direct
0.000 0.500 0.000
0.500 0.000 0.000
0.143 0.828 0.638
0.172 0.857 0.362
0.191 0.503 0.831
0.329 0.329 0.486
0.369 0.369 0.219
0.497 0.809 0.169
0.503 0.191 0.831
0.631 0.631 0.781
0.671 0.671 0.514
0.809 0.497 0.169
0.828 0.143 0.638
0.857 0.172 0.362
0.000 0.500 0.500
0.500 0.000 0.500
```


A plane-wave DFT calculation with PBE-GGA was carried out for Pm3Nd4Ag after structural relaxation.

Space group: P4/mmm (123)
Formation energy (eV/atom): -0.05

```
Pm3Nd4Ag
1.0
3.681 0.000 0.000
0.000 3.681 0.000
0.000 0.000 19.452
Pm Nd Ag
3 4 1
direct
0.000 0.000 0.000
0.000 0.000 0.265
0.000 0.000 0.735
0.500 0.500 0.133
0.500 0.500 0.399
0.500 0.500 0.601
0.500 0.500 0.867
0.000 0.000 0.500
```


A plane-wave DFT calculation with PBE-GGA was carried out for Nd4CdSb after structural relaxation.

Formation energy (no corrections) (kJ/mol of atoms): -27.0
Space group: Cmcm (63)

```
Nd4CdSb
1.0
2.864 -10.911 0.000
2.864 10.911 0.000
0.000 0.000 6.561
Nd Cd Sb
8 2 2
direct
0.065 0.935 0.750
0.210 0.790 0.503
0.210 0.790 0.997
0.374 0.626 0.750
0.626 0.374 0.250
0.790 0.210 0.003
0.790 0.210 0.497
0.935 0.065 0.250
0.076 0.924 0.250
0.924 0.076 0.750
0.346 0.654 0.250
0.654 0.346 0.750
```


A plane-wave DFT calculation with PBE-GGA was carried out for La4Y4Sc after structural relaxation.

Space group: I4/mmm (139)
Formation energy (eV/atom): 0.05

```
La4Y4Sc
1.0
-5.412 5.412 2.577
5.412 -5.412 2.577
5.412 5.412 -2.577
La Y Sc
4 4 1
direct
0.000 0.332 0.332
0.000 0.668 0.668
0.332 0.000 0.332
0.668 0.000 0.668
0.338 0.338 0.676
0.338 0.662 0.000
0.662 0.338 0.000
0.662 0.662 0.324
0.000 0.000 0.000
```


A plane-wave DFT calculation with PBE-GGA was carried out for BeGaAsSe2 after structural relaxation.

Formation energy (no corrections) (kJ/mol of atoms): 89.3
Space group: P4/mmm (123)
Polymorph energy (0 for the lowest one) (meV/atom): 660

```
BeGaAsSe2
1.0
4.948 0.000 0.000
0.000 4.948 0.000
0.000 0.000 4.906
Be Ga As Se
1 1 1 2
direct
0.000 0.000 0.000
0.500 0.500 0.500
0.500 0.500 0.000
0.000 0.500 0.500
0.500 0.000 0.500
```


Calculated electronic total energy, -2.644; -6.381; -5.454; -4.967; -11.751; -3.456; -5.704; -3.714; -4.567; -4.298; -5.721; -2.749 eV/atom (same order as the records).